The following is a DFT calculation (PBE) of a relaxed Li2MgAgHg2 crystal.

Cell and atoms, written as POSCAR:
```
Li2MgAgHg2
1.0
4.696 0.000 0.000
-2.348 4.067 0.000
0.000 0.000 5.782
Li Mg Ag Hg
2 1 1 2
Cartesian
0.000 2.711 4.002 Li
2.348 1.356 1.780 Li
0.000 0.000 0.000 Mg
0.000 0.000 2.891 Ag
0.000 2.711 1.242 Hg
2.348 1.356 4.540 Hg
```

Output
The formation energy comes out at -7.1 kcal/mol of atoms. The value obtained for the size of the total moment is 0.00 μB/f.u.